La2Nd2HPb2: relaxed, PBE.

Summary:
final energy = -33.82 eV per formula unit
space-group type = I4/mmm
total magnetization = 1.21 Bohr magnetons per cell

abc: 9.601 9.601 9.601
angles: 151.10 151.10 41.32
Fractional coordinates of all 7 atoms:
La: 0.179 0.179 0.000
La: 0.821 0.821 0.000
Nd: 0.000 0.500 0.500
Nd: 0.500 0.000 0.500
H: 0.000 0.000 0.000
Pb: 0.365 0.365 0.000
Pb: 0.635 0.635 0.000



LaVC3: relaxed, PBE.

Summary:
relative energy among the computed polymorphs = 0 meV/atom
space-group type = Pm-3m
total magnetization = 0.00 Bohr magnetons per cell

abc: 4.000 4.000 4.000
angles: 90.00 90.00 90.00
Fractional coordinates of all 5 atoms:
La: 0.000 0.000 0.000
V: 0.500 0.500 0.500
C: 0.000 0.500 0.500
C: 0.500 0.000 0.500
C: 0.500 0.500 0.000



CdCu2As: relaxed, PBE.

Summary:
relative energy among the computed polymorphs = 11 meV/atom
space-group type = Cm
total magnetization = 0.00 Bohr magnetons per cell

abc: 4.466 4.466 5.494
angles: 100.23 100.23 39.08
Fractional coordinates of all 4 atoms:
Cd: 0.000 0.000 0.000
Cu: 0.250 0.250 0.729
Cu: 0.509 0.509 0.548
As: 0.764 0.764 0.357